# BaCr2As2O6 PBE with a Hubbard U optimized geometry
# Energy, eV/cell: -72.9
data_BaCr2As2O6
_cell_length_a 5.6381
_cell_length_b 6.6410
_cell_length_c 6.6986
_cell_angle_alpha 70.46
_cell_angle_beta 73.95
_cell_angle_gamma 70.83
_space_group_name_H-M_alt 'P -1'
_space_group_IT_number 2
loop_
_space_group_symop_operation_xyz
'x,y,z'
'-x,-y,-z'
loop_
_atom_site_label
_atom_site_fract_x
_atom_site_fract_y
_atom_site_fract_z
Ba1 0.0000 0.0000 0.0000
Cr1 0.2681 0.4199 0.9891
As1 0.3749 0.6829 0.3841
O1 0.0374 0.6711 0.8446
O2 0.3555 0.2198 0.7954
O3 0.3627 0.5609 0.1754